Record 1
48
Lattice="-0.7947 -5.5093 -1.0232 7.1726 -0.0238 -5.4427 11.2834 -3.4889 10.0215" Properties=species:S:1:pos:R:3 comment="SbC2NO2F6, relaxed, DFT GGA-PBE" spacegroup="P2_1/c (14)" pbc="T T T"
O 4.5242 -2.0765 -1.6220
F 4.4389 -5.4346 -4.3502
F 11.0869 -5.5943 6.3165
F 8.0749 -3.6052 -0.2328
C 8.0958 -4.8826 -0.5605
Sb 11.6290 -3.5540 1.8363
F 6.5744 -3.4278 -2.7609
C 4.0718 -1.3685 -0.7041
F 1.6717 -3.2056 -2.1078
F 7.3459 -1.3765 -4.4622
F 7.1067 -1.0162 -1.7163
F 11.8420 -7.7655 1.7682
N 14.4816 -7.2718 3.3455
F 10.4200 -4.8257 1.0976
O 7.4212 -5.7158 0.0712
O 2.1370 -3.8022 0.8555
F 9.5863 -5.4168 3.7884
Sb 6.0323 -5.4680 1.7193
F 15.9896 -5.8164 5.6634
F 13.9982 -3.3973 5.1405
F 7.2412 -4.1963 2.4580
F 12.4357 -4.9281 2.8919
C 9.5654 -4.1394 4.1160
O 15.5243 -5.2198 2.7000
F 10.3153 -7.6455 8.0178
O 13.1371 -6.9456 5.1776
F 4.7578 -5.3175 3.1154
N 8.7664 -3.8755 5.1501
C 9.0896 -6.1750 -2.2518
Sb 6.0097 -1.6542 -3.1456
F 13.2224 -3.5874 7.9058
C 14.9832 -6.1729 3.0833
O 10.2401 -3.3062 3.4843
F 7.0387 -6.8539 2.5494
Sb 11.6515 -7.3678 6.7012
N 3.1797 -1.7502 0.2101
C 2.6780 -2.8491 0.4723
C 8.5717 -2.8470 5.8074
N 8.8948 -5.1465 -1.5945
F 10.5546 -8.0058 5.2719
F 3.6630 -5.6247 -1.5849
O 7.4983 -7.4901 5.5054
F 5.8193 -1.2566 1.7874
F 5.2256 -4.0939 0.6637
F 10.6226 -2.1681 1.0062
C 13.5895 -7.6536 4.2597
O 10.1630 -1.5319 -1.9498
F 12.9035 -3.7045 0.4402


Record 2
11
Lattice="-4.2202 2.1654 -2.6652 -4.1329 -3.2642 0.7594 0.9149 4.5256 3.9886" Properties=species:S:1:pos:R:3 comment="Pa2C2N6F, relaxed, DFT GGA-PBE" spacegroup="P-1 (2)" pbc="T T T"
N -3.3161 0.2629 2.9306
F -1.6527 3.3455 0.6617
N -4.1222 3.1639 -0.8478
N -5.9993 3.9584 1.2031
Pa -3.6775 -0.7481 0.8934
Pa -3.7608 4.1749 1.1894
C -2.8980 1.5305 3.1544
C -4.5403 1.8963 -1.0716
N -1.4389 -0.5316 0.8797
N -3.5963 2.6271 2.7767
N -3.8420 0.7997 -0.6939


Record 3
5
Lattice="4.4869 0.0000 0.0000 0.0000 4.4869 0.0000 0.0000 0.0000 4.5839" Properties=species:S:1:pos:R:3 comment="PbCNF2, relaxed, DFT GGA-PBE" spacegroup="P4/mmm (123)" polymorph_energy_kj_per_mol_atoms=137.44 pbc="T T T"
Pb 0.0000 0.0000 0.0000
F 2.2435 0.0000 0.0000
C 2.2435 2.2435 2.2920
F 0.0000 2.2435 0.0000
N 0.0000 0.0000 2.2920


Record 4
5
Lattice="-4.8293 0.3758 -0.5266 0.2306 -2.7054 -4.0458 -0.3222 -2.1505 1.4197" Properties=species:S:1:pos:R:3 comment="PbCNF2, relaxed, DFT GGA-PBE" spacegroup="P4/mmm (123)" polymorph_energy_kj_per_mol_atoms=0.00 pbc="T T T"
C 0.0000 0.0000 0.0000
Pb -2.4604 -2.2401 -1.5763
N -0.1611 -1.0753 0.7098
F -2.4147 0.1879 -0.2633
F 0.1153 -1.3527 -2.0229


Record 5
12
Lattice="3.6455 0.0000 0.0000 0.0000 7.3694 0.2557 -1.8227 -2.1347 7.6992" Properties=species:S:1:pos:R:3 comment="Pm6C2N3F, relaxed, DFT GGA-PBE" spacegroup="C2/m (12)" pbc="T T T"
N 1.8227 3.6847 0.1279
N 1.8227 -0.2125 5.1878
Pm 1.8227 3.5940 2.7292
Pm 1.8227 -0.1105 2.6750
Pm 0.0000 1.6407 5.2258
Pm 1.8227 -0.1415 7.7616
C 0.0000 1.7066 2.5490
Pm 0.0000 5.3762 0.1934
F 1.8227 0.0000 0.0000
C 1.8227 3.5281 5.4059
N 0.0000 5.4472 2.7671
Pm 0.0000 5.3452 5.2800


Record 6
8
Lattice="3.6219 0.0000 0.0000 0.0000 6.2746 0.1074 0.0000 -2.1976 6.1482" Properties=species:S:1:pos:R:3 comment="Pm4CNF2, relaxed, DFT GGA-PBE" spacegroup="P2/m (10)" pbc="T T T"
C 1.8109 3.1373 0.0537
Pm 1.8109 3.0645 4.8991
F 0.0000 2.0385 3.1278
N 0.0000 0.0000 0.0000
Pm 1.8109 1.0125 1.3566
Pm 0.0000 4.1762 1.4277
Pm 0.0000 -0.0992 4.8279
F 1.8109 -1.0988 3.0741


Record 7
12
Lattice="-2.7903 -1.3069 -5.4838 5.4181 -2.8028 1.5344 -3.9400 -3.0702 3.9537" Properties=species:S:1:pos:R:3 comment="Pm6CN3F2, relaxed, DFT GGA-PBE" spacegroup="C2/m (12)" pbc="T T T"
Pm -1.7249 -1.6194 -1.0244
F 2.6944 -2.3065 -0.7944
N 2.1222 -4.0963 2.3776
F -0.0666 -1.8033 -3.1550
C 0.0000 0.0000 0.0000
Pm -2.2010 -5.0841 -1.2061
Pm 0.4127 -5.5605 1.0287
Pm 0.9806 -3.9615 -1.9913
N -0.6561 -3.5899 0.0021
Pm 0.8888 -2.0958 1.2103
Pm -2.2928 -3.2184 1.9956
N -3.4344 -3.0836 -2.3733


Record 8
10
Lattice="3.9142 0.0000 0.0000 0.0000 5.4185 -0.3120 0.0000 -1.1906 6.3436" Properties=species:S:1:pos:R:3 comment="PrCN2F, relaxed, DFT GGA-PBE" spacegroup="P2_1/m (11)" pbc="T T T"
N 0.9785 0.3392 2.4599
N 2.9356 3.8887 3.5717
Pr 0.9785 0.0353 4.9895
F 2.9356 0.8253 0.0998
Pr 2.9356 4.1926 1.0421
N 2.9356 1.7108 4.7365
C 0.9785 1.4493 1.9125
N 0.9785 2.5171 1.2951
F 0.9785 3.4026 5.9318
C 2.9356 2.7786 4.1191


Record 9
5
Lattice="6.1599 0.0000 0.0000 0.0000 6.1599 0.0000 0.0000 0.0000 5.0377" Properties=species:S:1:pos:R:3 comment="RbCN2F, relaxed, DFT GGA-PBE" spacegroup="P4/mmm (123)" polymorph_energy_kj_per_mol_atoms=160.22 pbc="T T T"
Rb 0.0000 0.0000 0.0000
N 0.0000 3.0799 0.0000
C 3.0799 3.0799 2.5189
N 3.0799 0.0000 0.0000
F 0.0000 0.0000 2.5189


Record 10
5
Lattice="3.3107 0.0000 0.0000 0.0000 3.3107 0.0000 0.0000 0.0000 6.7896" Properties=species:S:1:pos:R:3 comment="RbCN2F, relaxed, DFT GGA-PBE" spacegroup="P4/mmm (123)" polymorph_energy_kj_per_mol_atoms=0.00 pbc="T T T"
C 0.0000 0.0000 0.0000
N 1.6554 0.0000 0.0000
F 0.0000 0.0000 3.3948
Rb 1.6554 1.6554 3.3948
N 0.0000 1.6554 0.0000


Record 11
5
Lattice="-2.6102 1.4095 -5.5744 -3.9414 -3.0580 1.0723 -3.0446 4.8544 2.6531" Properties=species:S:1:pos:R:3 comment="RbC2NF, relaxed, DFT GGA-PBE" spacegroup="P4/mmm (123)" pbc="T T T"
C -1.5223 2.4272 1.3266
F -1.9707 -1.5290 0.5362
C -1.3051 0.7048 -2.7872
Rb 0.0000 0.0000 0.0000
N -4.7981 1.6030 -0.9245


Record 12
10
Lattice="-1.7209 -4.6811 -3.4230 5.6462 -2.1670 0.1248 1.0285 -5.6553 1.8719" Properties=species:S:1:pos:R:3 comment="Rb2CNF6, relaxed, DFT GGA-PBE" spacegroup="I4/mmm (139)" pbc="T T T"
F 3.3379 -8.2513 -1.0839
F 2.6902 -4.6934 -2.2604
F 0.5971 -3.8901 -2.3067
N 0.0000 0.0000 0.0000
F 1.6160 -4.2521 -0.3424
C 1.9627 -3.4240 -1.6491
F 1.2351 -2.1547 -1.0378
Rb 4.3187 -5.6231 0.1738
Rb 0.6351 -6.8802 -1.6001
F 3.3282 -2.9580 -0.9915


Record 13
5
Lattice="3.6245 0.0000 0.0000 0.0000 3.6245 0.0000 0.0000 0.0000 3.2479" Properties=species:S:1:pos:R:3 comment="ReCN2F, relaxed, DFT GGA-PBE" spacegroup="P4/mmm (123)" polymorph_energy_kj_per_mol_atoms=56.59 pbc="T T T"
N 0.0000 1.8123 0.0000
C 0.0000 0.0000 0.0000
F 0.0000 0.0000 1.6240
Re 1.8123 1.8123 1.6240
N 1.8123 0.0000 0.0000


Record 14
5
Lattice="3.8659 0.0000 0.0000 0.0000 3.8659 0.0000 0.0000 0.0000 4.0563" Properties=species:S:1:pos:R:3 comment="ReCN2F, relaxed, DFT GGA-PBE" spacegroup="P4/mmm (123)" polymorph_energy_kj_per_mol_atoms=0.00 pbc="T T T"
C 1.9329 1.9329 2.0281
F 0.0000 0.0000 2.0281
N 1.9329 0.0000 0.0000
N 0.0000 1.9329 0.0000
Re 0.0000 0.0000 0.0000


Record 15
5
Lattice="4.7945 0.0000 0.0000 0.0000 4.7945 0.0000 0.0000 0.0000 2.4514" Properties=species:S:1:pos:R:3 comment="ReCNF2, relaxed, DFT GGA-PBE" spacegroup="P4/mmm (123)" polymorph_energy_kj_per_mol_atoms=0.00 pbc="T T T"
F 2.3973 0.0000 0.0000
Re 2.3973 2.3973 1.2257
C 0.0000 0.0000 0.0000
F 0.0000 2.3973 0.0000
N 0.0000 0.0000 1.2257


Record 16
5
Lattice="4.0871 0.0000 0.0000 0.0000 4.0871 0.0000 0.0000 0.0000 3.8071" Properties=species:S:1:pos:R:3 comment="ReCNF2, relaxed, DFT GGA-PBE" spacegroup="P4/mmm (123)" polymorph_energy_kj_per_mol_atoms=24.90 pbc="T T T"
Re 0.0000 0.0000 0.0000
F 0.0000 2.0435 0.0000
F 2.0435 0.0000 0.0000
C 2.0435 2.0435 1.9035
N 0.0000 0.0000 1.9035


Record 17
5
Lattice="4.6366 0.0000 0.0000 0.0000 4.6366 0.0000 0.0000 0.0000 2.4691" Properties=species:S:1:pos:R:3 comment="RhCNF2, relaxed, DFT GGA-PBE" spacegroup="P4/mmm (123)" polymorph_energy_kj_per_mol_atoms=0.00 pbc="T T T"
C 0.0000 0.0000 0.0000
N 0.0000 0.0000 1.2345
Rh 2.3183 2.3183 1.2345
F 0.0000 2.3183 0.0000
F 2.3183 0.0000 0.0000


Record 18
5
Lattice="-2.8747 -2.6744 1.4929 3.0293 -2.7848 0.8443 0.3986 1.4584 3.3802" Properties=species:S:1:pos:R:3 comment="RhCNF2, relaxed, DFT GGA-PBE" spacegroup="P4/mmm (123)" polymorph_energy_kj_per_mol_atoms=93.68 pbc="T T T"
F -1.4373 -1.3372 0.7464
Rh 0.0000 0.0000 0.0000
C 0.2766 -2.0004 2.8587
F 1.5146 -1.3924 0.4222
N 0.1993 0.7292 1.6901


Record 19
5
Lattice="-0.7187 -0.6540 3.3575 -1.1623 -3.1800 -0.8682 3.1640 -1.2737 0.4292" Properties=species:S:1:pos:R:3 comment="RuCN2F, relaxed, DFT GGA-PBE" spacegroup="P4/mmm (123)" polymorph_energy_kj_per_mol_atoms=13.74 pbc="T T T"
C 0.0000 0.0000 0.0000
Ru 0.6415 -2.5538 1.4593
N -0.3594 -0.3270 1.6788
N -0.5812 -1.5900 -0.4341
F 1.5820 -0.6368 0.2146


Record 20
5
Lattice="3.8142 0.0000 0.0000 0.0000 3.8142 0.0000 0.0000 0.0000 4.0783" Properties=species:S:1:pos:R:3 comment="RuCN2F, relaxed, DFT GGA-PBE" spacegroup="P4/mmm (123)" polymorph_energy_kj_per_mol_atoms=0.00 pbc="T T T"
C 1.9071 1.9071 2.0391
N 1.9071 0.0000 0.0000
Ru 0.0000 0.0000 0.0000
F 0.0000 0.0000 2.0391
N 0.0000 1.9071 0.0000


no.,E_form (uncorrected) (kJ per mole of atoms),DOS at the Fermi energy (states/eV/f.u.)
1,-152,0.0
2,-89,4.4
3,105,2.1
4,-33,1.5
5,-115,2.1
6,-170,2.2
7,-162,3.4
8,-157,0.0
9,267,10.4
10,107,2.5
11,313,2.6
12,-109,0.0
13,190,1.7
14,134,3.7
15,54,3.2
16,79,5.9
17,16,2.8
18,110,3.4
19,183,4.1
20,170,5.0